The following is a DFT calculation (PBE) of crystalline CsTaMnAs2 at its relaxed geometry.

```
CsTaMnAs2
1.0
4.735 0.000 0.000
0.000 4.735 0.000
0.000 0.000 4.897
Cs Ta Mn As
1 1 1 2
direct
0.000 0.000 0.000
0.500 0.500 0.000
0.500 0.500 0.500
0.000 0.500 0.500
0.500 0.000 0.500
```

## Properties
Fermi-level density of states	4.40	states/eV/f.u.
theoretical density	7.85	g/cm³
ΔH_f (0 K)	0.81	eV/atom
total moment	1.896	μB per cell
total energy	-27.11	eV per formula unit

---

The following is a DFT calculation (PBE) of crystalline Cs2MnTe4As at its relaxed geometry.

```
Cs2MnTe4As
1.0
0.000 7.734 13.041
3.493 0.000 13.041
3.493 7.734 0.000
Cs Mn Te As
4 2 8 2
direct
0.054 0.054 0.696
0.304 0.304 0.946
0.696 0.696 0.054
0.946 0.946 0.304
0.125 0.125 0.125
0.875 0.875 0.875
0.035 0.320 0.414
0.270 0.586 0.680
0.320 0.035 0.730
0.414 0.730 0.035
0.586 0.270 0.965
0.680 0.965 0.270
0.730 0.414 0.320
0.965 0.680 0.586
0.375 0.375 0.375
0.625 0.625 0.625
```

## Properties
Fermi-level density of states	4.23	states/eV/f.u.
formation energy without anion corrections	-363	kJ/mol of formula units
theoretical density	4.27	g/cm³
total moment	7.993	μB per cell
total energy	-31.86	eV per formula unit

---

The following is a DFT calculation (PBE) of crystalline CsMnTe3As at its relaxed geometry.

```
CsMnTe3As
1.0
10.128 0.000 0.000
0.000 4.399 0.000
-4.201 0.000 10.152
Cs Mn Te As
2 2 6 2
direct
0.213 0.250 0.250
0.787 0.750 0.750
0.085 0.250 0.612
0.915 0.750 0.388
0.139 0.250 0.874
0.208 0.750 0.545
0.476 0.750 0.142
0.524 0.250 0.858
0.792 0.250 0.455
0.861 0.750 0.126
0.337 0.750 0.879
0.663 0.250 0.121
```

## Properties
Fermi-level density of states	0.17	states/eV/f.u.
formation energy without anion corrections	-206	kJ/mol of formula units
theoretical density	4.74	g/cm³
total moment	9.999	μB per cell
total energy	-26.23	eV per formula unit

---

The following is a DFT calculation (PBE) of crystalline CsMnAsW2 at its relaxed geometry.

```
CsMnAsW2
1.0
4.841 0.000 0.000
0.000 4.841 0.000
0.000 0.000 5.070
Cs Mn As W
1 1 1 2
direct
0.000 0.000 0.000
0.500 0.500 0.000
0.500 0.500 0.500
0.000 0.500 0.500
0.500 0.000 0.500
```

## Properties
Fermi-level density of states	5.10	states/eV/f.u.
theoretical density	8.81	g/cm³
ΔH_f (0 K)	1.78	eV/atom
total moment	2.939	μB per cell
total energy	-31.66	eV per formula unit

---

The following is a DFT calculation (PBE) of crystalline CsMo3As at its relaxed geometry.

```
CsMo3As
1.0
4.929 0.000 0.000
0.000 4.929 0.000
0.000 0.000 4.929
Cs Mo As
1 3 1
direct
0.000 0.000 0.000
0.000 0.000 0.500
0.000 0.500 0.000
0.500 0.000 0.000
0.500 0.500 0.500
```

## Properties
Fermi-level density of states	7.59	states/eV/f.u.
theoretical density	6.87	g/cm³
ΔH_f (0 K)	3.25	eV/atom
total moment	1.610	μB per cell
total energy	-21.77	eV per formula unit

---

The following is a DFT calculation (PBE) of crystalline Cs3MoAs at its relaxed geometry.

```
Cs3MoAs
1.0
6.879 0.000 0.000
0.000 6.879 0.000
0.000 0.000 6.879
Cs Mo As
3 1 1
direct
0.000 0.000 0.500
0.000 0.500 0.000
0.500 0.000 0.000
0.500 0.500 0.500
0.000 0.000 0.000
```

## Properties
Fermi-level density of states	3.18	states/eV/f.u.
theoretical density	2.91	g/cm³
ΔH_f (0 K)	0.93	eV/atom
total moment	6.000	μB per cell
total energy	-13.38	eV per formula unit

---

The following is a DFT calculation (PBE) of crystalline Cs2MoAs at its relaxed geometry.

```
Cs2MoAs
1.0
0.000 4.344 4.344
4.344 0.000 4.344
4.344 4.344 0.000
Cs Mo As
2 1 1
direct
0.250 0.250 0.250
0.750 0.750 0.750
0.000 0.000 0.000
0.500 0.500 0.500
```

## Properties
Fermi-level density of states	3.40	states/eV/f.u.
theoretical density	4.42	g/cm³
ΔH_f (0 K)	1.19	eV/atom
total moment	4.991	μB per cell
total energy	-12.43	eV per formula unit

---

The following is a DFT calculation (PBE) of crystalline CsMoAs at its relaxed geometry.

```
CsMoAs
1.0
3.930 0.000 0.000
0.000 3.930 0.000
0.000 0.000 13.093
Cs Mo As
2 2 2
direct
0.250 0.250 0.206
0.750 0.750 0.794
0.250 0.750 0.500
0.750 0.250 0.500
0.250 0.250 0.632
0.750 0.750 0.368
```

## Properties
Fermi-level density of states	1.47	states/eV/f.u.
theoretical density	4.99	g/cm³
ΔH_f (0 K)	-0.24	eV/atom
total moment	0.007	μB per cell
total energy	-17.06	eV per formula unit

---

The following is a DFT calculation (PBE) of crystalline CsMo3As at its relaxed geometry.

```
CsMo3As
1.0
4.894 0.000 0.000
0.000 4.894 0.000
0.000 0.000 4.894
Cs Mo As
1 3 1
direct
0.000 0.000 0.000
0.000 0.500 0.500
0.500 0.000 0.500
0.500 0.500 0.000
0.500 0.500 0.500
```

## Properties
Fermi-level density of states	9.41	states/eV/f.u.
theoretical density	7.02	g/cm³
ΔH_f (0 K)	1.68	eV/atom
total moment	4.107	μB per cell
total energy	-29.58	eV per formula unit

---

The following is a DFT calculation (PBE) of crystalline CsMoAsSe2 at its relaxed geometry.

```
CsMoAsSe2
1.0
5.461 0.000 0.000
0.000 5.461 0.000
0.000 0.000 5.647
Cs Mo As Se
1 1 1 2
direct
0.000 0.000 0.000
0.500 0.500 0.500
0.000 0.000 0.500
0.000 0.500 0.000
0.500 0.000 0.000
```

## Properties
Fermi-level density of states	16.19	states/eV/f.u.
formation energy without anion corrections	1154	kJ/mol of formula units
theoretical density	4.55	g/cm³
total moment	0.000	μB per cell
total energy	-11.34	eV per formula unit

---

The following is a DFT calculation (PBE) of crystalline CsMoAsSe2 at its relaxed geometry.

```
CsMoAsSe2
1.0
5.161 0.000 0.000
0.000 5.161 0.000
0.000 0.000 4.963
Cs Mo As Se
1 1 1 2
direct
0.000 0.000 0.000
0.500 0.500 0.500
0.500 0.500 0.000
0.000 0.500 0.500
0.500 0.000 0.500
```

## Properties
Fermi-level density of states	3.99	states/eV/f.u.
formation energy without anion corrections	-111	kJ/mol of formula units
theoretical density	5.80	g/cm³
total moment	0.000	μB per cell
total energy	-24.46	eV per formula unit

---

The following is a DFT calculation (PBE) of crystalline CsSrMo2As at its relaxed geometry.

```
CsSrMo2As
1.0
4.815 0.000 0.000
0.000 4.815 0.000
0.000 0.000 6.261
Cs Sr Mo As
1 1 2 1
direct
0.000 0.000 0.000
0.500 0.500 0.000
0.000 0.500 0.500
0.500 0.000 0.500
0.000 0.000 0.500
```

## Properties
Fermi-level density of states	2.68	states/eV/f.u.
theoretical density	5.58	g/cm³
ΔH_f (0 K)	1.06	eV/atom
total moment	0.000	μB per cell
total energy	-23.53	eV per formula unit